Material: Sr2Li3NiF12
Method: DFT, PBE+U
State: optimized geometry

Unit cell a=6.8538 b=6.8538 c=6.8538 alpha=62.89 beta=62.89 gamma=62.89
Each line ends with the local moment (μB).
Fractional positions:
F1 0.9402 0.2985 0.9402  0.06
F2 0.0617 0.6166 0.6166  0.13
F3 0.6166 0.6166 0.0617  0.13
F4 0.0598 0.7015 0.0598  0.06
F5 0.9383 0.3834 0.3834  0.13
F6 0.2985 0.9402 0.9402  0.06
F7 0.9402 0.9402 0.2985  0.06
F8 0.6166 0.0617 0.6166  0.13
F9 0.3834 0.9383 0.3834  0.13
F10 0.3834 0.3834 0.9383  0.13
F11 0.0598 0.0598 0.7015  0.06
F12 0.7015 0.0598 0.0598  0.06
Sr1 0.3464 0.3464 0.3464  0.00
Sr2 0.6536 0.6536 0.6536  0.00
Li1 0.5000 0.0000 0.0000  0.00
Li2 0.0000 0.0000 0.5000  0.00
Li3 0.0000 0.5000 0.0000  0.00
Ni1 0.0000 0.0000 0.0000  -0.17

Properties
DFT total energy, eV/atom: -4.44